--- a ---
# AlZnH2

A relaxed AlZnH2 crystal (PBE, the Alexandria database).

Output
The crystal system is trigonal. Its volume is 10.80 Å³/atom.

a b c (Å): 2.9482 2.9482 17.2130
angles (deg): 90.00 90.00 120.00
Last column: nearest neighbours and their distance in Å.
Space group R-3m (No. 166, hexagonal axes)
Asymmetric unit:
Al (0.0000, 0.0000, 0.0000) x3  6 H 1.90
Zn (0.0000, 0.0000, 0.5000) x3  2 H 2.01
H (0.0000, 0.0000, 0.3829) x6  3 Al 1.90, 1 Zn 2.01



--- b ---
# AlZnH2

A relaxed AlZnH2 crystal (PBE, the Alexandria database).

Output
The crystal system is tetragonal. Its volume is 11.82 Å³/atom.

a b c (Å): 4.4208 4.4208 9.6795
angles (deg): 90.00 90.00 90.00
Last column: nearest neighbours and their distance in Å.
Space group I-42d (No. 122)
Asymmetric unit:
Al (0.0000, 0.0000, 0.0000) x4  4 H 1.74
Zn (0.0000, 0.0000, 0.5000) x4  4 H 2.31
H (0.1312, 0.2500, 0.1250) x8  2 Al 1.74



Which structure wins on stability? a wins.



--- a ---
# ZrAlH

A relaxed ZrAlH crystal (PBE, the Alexandria database).

Output
The crystal system is orthorhombic. Its volume is 13.84 Å³/atom.

a b c (Å): 4.3835 4.7172 8.0312
angles (deg): 90.00 90.00 90.00
Last column: nearest neighbours and their distance in Å.
Space group Cmme (No. 67)
Asymmetric unit:
Zr (0.0000, 0.2500, 0.1711) x4  4 H 2.12
Al (0.0000, 0.2500, 0.5987) x4  4 Al 2.70-2.84, 4 Zr 2.87-3.00
H (0.2500, 0.0000, 0.0000) x4  4 Zr 2.12, 4 H 2.19-2.36



--- b ---
# ZrAlH

A relaxed ZrAlH crystal (PBE, the Alexandria database).

Output
The crystal system is trigonal. Its volume is 14.54 Å³/atom.

a b c (Å): 3.2948 3.2948 4.6402
angles (deg): 90.00 90.00 120.00
Last column: nearest neighbours and their distance in Å.
Space group P3m1 (No. 156)
Asymmetric unit:
Zr (0.0000, 0.0000, 0.0000) x1  3 H 2.00
Al (0.6667, 0.3333, 0.5102) x1  3 H 2.59
H (0.3333, 0.6667, 0.1314) x1  3 Zr 2.00



--- c ---
# ZrAlH

A relaxed ZrAlH crystal (PBE, the Alexandria database).

Output
The crystal system is orthorhombic. Its volume is 14.95 Å³/atom.

a b c (Å): 16.1124 16.7601 5.3138
angles (deg): 90.00 90.00 90.00
Last column: nearest neighbours and their distance in Å.
Space group Ccce (No. 68, origin choice 2)
Asymmetric unit:
Zr (0.0948, 0.1598, 0.2477) x16  3 H 2.07-2.32
Zr (0.0986, 0.0479, 0.7457) x16  4 H 2.00-2.23
Al (0.0000, 0.1765, 0.7500) x8  2 H 2.17
Al (0.1534, 0.2500, 0.7500) x8  6 Al 2.76-2.99, 2 H 3.05
Al (0.2474, 0.1218, 0.4995) x16  1 H 2.08
H (0.0000, 0.0000, 0.0000) x8  4 Zr 2.21-2.23
H (0.0000, 0.2500, 0.0859) x8  1 H 1.74
H (0.1466, 0.0578, 0.0921) x16  3 Zr 2.00-2.10, 1 Al 2.08



Which structure wins on stability? a wins.



--- a ---
# ZrAlH

A relaxed ZrAlH crystal (PBE, the Alexandria database).

Output
The crystal system is orthorhombic. Its volume is 13.36 Å³/atom.

a b c (Å): 7.1753 3.9612 5.6386
angles (deg): 90.00 90.00 90.00
Last column: nearest neighbours and their distance in Å.
Space group Pnma (No. 62)
Asymmetric unit:
Zr (0.1704, 0.2500, 0.1198) x4  3 H 2.14-2.20
Al (0.0396, 0.2500, 0.6296) x4  2 Al 2.53, 4 H 2.58-2.79
H (0.1215, 0.7500, 0.9615) x4  3 Zr 2.14-2.20



--- b ---
# ZrAlH

A relaxed ZrAlH crystal (PBE, the Alexandria database).

Output
The crystal system is orthorhombic. Its volume is 14.67 Å³/atom.

a b c (Å): 5.2207 3.1039 10.8604
angles (deg): 90.00 90.00 90.00
Last column: nearest neighbours and their distance in Å.
Space group Pnma (No. 62)
Asymmetric unit:
Zr (0.1671, 0.2500, 0.1758) x4  4 H 2.18
Al (0.1863, 0.2500, 0.4540) x4  2 Al 2.68, 3 Zr 2.88-2.97, 2 H 2.95
H (0.0835, 0.2500, 0.7510) x4  4 Zr 2.18



--- c ---
# ZrAlH

A relaxed ZrAlH crystal (PBE, the Alexandria database).

Output
The crystal system is tetragonal. Its volume is 14.98 Å³/atom.

a b c (Å): 2.9374 2.9374 10.4139
angles (deg): 90.00 90.00 90.00
Last column: nearest neighbours and their distance in Å.
Space group I4mm (No. 107)
Asymmetric unit:
Zr (0.0000, 0.0000, 0.0000) x2  4 H 2.14
Al (0.0000, 0.0000, 0.2850) x2  1 H 2.74, 4 Al 2.94, 5 Zr 2.97-3.05
H (0.0000, 0.0000, 0.5479) x2  4 Zr 2.14



Which structure wins on stability? a wins.



--- a ---
# ZrAl3H

A relaxed ZrAl3H crystal (PBE, the Alexandria database).

Output
The crystal system is cubic. Its volume is 14.14 Å³/atom.

a b c (Å): 4.1348 4.1348 4.1348
angles (deg): 90.00 90.00 90.00
Last column: nearest neighbours and their distance in Å.
Space group Pm-3m (No. 221)
Asymmetric unit:
Zr (0.0000, 0.0000, 0.0000) x1  12 Al 2.92
Al (0.0000, 0.5000, 0.5000) x3  2 H 2.07
H (0.5000, 0.5000, 0.5000) x1  6 Al 2.07



--- b ---
# ZrAl3H

A relaxed ZrAl3H crystal (PBE, the Alexandria database).

Output
The crystal system is cubic. Its volume is 31.80 Å³/atom.

a b c (Å): 5.4175 5.4175 5.4175
angles (deg): 90.00 90.00 90.00
Last column: nearest neighbours and their distance in Å.
Space group Pm-3m (No. 221)
Asymmetric unit:
Zr (0.0000, 0.0000, 0.0000) x1  6 Al 2.71
Al (0.0000, 0.0000, 0.5000) x3  2 Zr 2.71
H (0.5000, 0.5000, 0.5000) x1  12 Al 3.83



Which structure wins on stability? a wins.